# 1
## OsSe2NF (GGA-PBE)

Data for crystalline OsSe2NF at its relaxed geometry.

Cell lengths 4.6192, 4.6192, 3.5059 Å; angles 90.00, 90.00, 90.00 degrees
Sites, in units of the cell vectors:
N (0.0000, 0.0000, 0.5000)
Se (0.5000, 0.0000, 0.0000)
Se (0.0000, 0.5000, 0.0000)
Os (0.5000, 0.5000, 0.5000)
F (0.0000, 0.0000, 0.0000)

Summary:
Space group: P4/mmm (123)
ΔE_f (raw), kJ per mole of atoms: 172.5
Energy above the lowest structure with this stoichiometry, meV/atom: 1411

***

# 2
## YHoEr (GGA-PBE)

Data for crystalline YHoEr at its relaxed geometry.

Cell lengths 3.4771, 3.4588, 16.0361 Å; angles 90.00, 90.00, 90.00 degrees
Sites, in units of the cell vectors:
Ho (0.2500, 0.7500, 0.7328)
Y (0.7500, 0.7500, 0.9216)
Ho (0.7500, 0.2500, 0.2672)
Y (0.2500, 0.2500, 0.0784)
Er (0.2500, 0.7500, 0.4205)
Er (0.7500, 0.2500, 0.5795)

Summary:
ΔH_f (0 K), eV per atom: 0.15
Space group: Pmmn (59)
Energy above the lowest structure with this stoichiometry, meV/atom: 129

***

# 3
## Nd2HoTm3 (GGA-PBE)

Data for crystalline Nd2HoTm3 at its relaxed geometry.

Cell lengths 3.4813, 10.1627, 11.7581 Å; angles 108.21, 98.51, 90.00 degrees
Sites, in units of the cell vectors:
Nd (0.9306, 0.8690, 0.8612)
Tm (0.0705, 0.7620, 0.1411)
Nd (0.6900, 0.3714, 0.3800)
Tm (0.6945, 0.7150, 0.3890)
Tm (0.5581, 0.4446, 0.1161)
Nd (0.0694, 0.1310, 0.1388)
Tm (0.9295, 0.2380, 0.8589)
Ho (0.3103, 0.9638, 0.6206)
Tm (0.4419, 0.5554, 0.8839)
Tm (0.3055, 0.2850, 0.6110)
Ho (0.6897, 0.0362, 0.3794)
Nd (0.3100, 0.6286, 0.6200)

Summary:
ΔH_f (0 K), eV per atom: 0.12
Space group: C2/m (12)

***

no.,density of states at the Fermi level (states/eV/f.u.),V (A^3/atom)
1,3.6,14.96
2,4.9,32.14
3,9.0,32.53